No. 1
The following is a DFT calculation (PBE-GGA) of a relaxed structure of NdDy2Zn2Si4Au2.

Values from the calculation:
The energy above the most stable polymorph in this dataset is 0 meV per atom.

Cell: 4.082 4.209 25.196 Å, 90.00 90.00 90.00°
Space group Immm (No. 71)
Symmetry-distinct sites (fractional):
Nd 0.000 0.000 0.000 [2 per cell]
Dy 0.000 0.500 0.146 [4 per cell]
Zn 0.000 0.000 0.251 [4 per cell]
Si 0.000 0.000 0.453 [4 per cell]
Si 0.000 0.500 0.308 [4 per cell]
Au 0.000 0.500 0.403 [4 per cell]

=====

No. 2
The following is a DFT calculation (PBE-GGA) of a relaxed structure of TaCoAgPb.

Values from the calculation:
The energy above the most stable polymorph in this dataset is 113 meV per atom.

Cell: 6.569 6.569 6.569 Å, 90.00 90.00 90.00°
Space group F-43m (No. 216)
Symmetry-distinct sites (fractional):
Ta 0.000 0.000 0.000 [4 per cell]
Co 0.000 0.000 0.500 [4 per cell]
Ag 0.250 0.250 0.750 [4 per cell]
Pb 0.250 0.250 0.250 [4 per cell]

=====

No. 3
The following is a DFT calculation (PBE-GGA) of a relaxed structure of AlHgSO.

Values from the calculation:
The energy above the most stable polymorph in this dataset is 0 meV per atom.

Cell: 5.158 4.848 12.437 Å, 90.00 101.73 90.00°
Space group P2_1 (No. 4)
Symmetry-distinct sites (fractional):
Al 0.001 0.000 0.087 [2 per cell]
Al 0.421 0.985 0.939 [2 per cell]
Hg 0.284 0.699 0.451 [2 per cell]
Hg 0.300 0.570 0.664 [2 per cell]
S 0.008 0.765 0.259 [2 per cell]
S 0.372 0.298 0.185 [2 per cell]
O 0.141 0.820 0.982 [2 per cell]
O 0.336 0.340 0.947 [2 per cell]

=====

No. 4
The following is a DFT calculation (PBE-GGA) of a relaxed structure of TaFeAsPd.

Values from the calculation:
The energy above the most stable polymorph in this dataset is 142 meV per atom.

Cell: 6.238 6.238 6.238 Å, 90.00 90.00 90.00°
Space group F-43m (No. 216)
Symmetry-distinct sites (fractional):
Ta 0.000 0.000 0.000 [4 per cell]
Fe 0.250 0.250 0.750 [4 per cell]
As 0.000 0.000 0.500 [4 per cell]
Pd 0.250 0.250 0.250 [4 per cell]

=====

No. 5
The following is a DFT calculation (PBE-GGA) of a relaxed structure of YAlCuIr.

Values from the calculation:
The energy above the most stable polymorph in this dataset is 0 meV per atom.

Cell: 6.493 6.493 6.493 Å, 90.00 90.00 90.00°
Space group F-43m (No. 216)
Symmetry-distinct sites (fractional):
Y 0.000 0.000 0.000 [4 per cell]
Al 0.000 0.000 0.500 [4 per cell]
Cu 0.250 0.250 0.750 [4 per cell]
Ir 0.250 0.250 0.250 [4 per cell]

=====

No. 6
The following is a DFT calculation (PBE-GGA) of a relaxed structure of PmHfHg.

Values from the calculation:
Its formation energy is 0.9 eV/f.u.

Cell: 7.027 7.027 7.027 Å, 90.00 90.00 90.00°
Space group F-43m (No. 216)
Symmetry-distinct sites (fractional):
Pm 0.000 0.000 0.000 [4 per cell]
Hf 0.000 0.000 0.500 [4 per cell]
Hg 0.250 0.250 0.750 [4 per cell]

=====

No. 7
The following is a DFT calculation (PBE-GGA) of a relaxed structure of HfZr3Bi2As2.

Values from the calculation:
As for the raw total energy: -0.5436 Ry per atom.

Cell: 3.9653 3.9653 13.6219 Å, 90.00 90.00 120.00°
Space group P3m1 (No. 156)
Symmetry-distinct sites (fractional):
Hf 0.0000 0.0000 0.0000 [1 per cell]
Zr 0.0000 0.0000 0.2931 [1 per cell]
Zr 0.3333 0.6667 0.5000 [1 per cell]
Zr 0.3333 0.6667 0.7944 [1 per cell]
Bi 0.0000 0.0000 0.6471 [1 per cell]
Bi 0.3333 0.6667 0.1451 [1 per cell]
As 0.6667 0.3333 0.3967 [1 per cell]
As 0.6667 0.3333 0.8993 [1 per cell]

=====

No. 8
The following is a DFT calculation (PBE-GGA) of a relaxed structure of Nd3CdIn2AgIr2.

Values from the calculation:
As for the raw total energy: -0.3761 Ry per atom.

Cell: 4.067 13.381 7.744 Å, 90.00 90.00 90.00°
Space group Amm2 (No. 38)
Symmetry-distinct sites (fractional):
Nd 0.000 0.000 0.000 [2 per cell]
Nd 0.000 0.208 0.374 [4 per cell]
Cd 0.500 0.000 0.322 [2 per cell]
In 0.500 0.129 0.712 [4 per cell]
Ag 0.000 0.000 0.583 [2 per cell]
Ir 0.500 0.169 0.077 [4 per cell]

=====

No. 9
The following is a DFT calculation (PBE-GGA) of a relaxed structure of Dy2HoLu.

Values from the calculation:
Its formation energy is 0.0 eV/f.u.

Cell: 5.559 12.401 7.160 Å, 90.00 90.00 90.00°
Space group Ama2 (No. 40)
Symmetry-distinct sites (fractional):
Dy 0.250 0.083 0.000 [4 per cell]
Dy 0.250 0.333 0.251 [4 per cell]
Ho 0.250 0.334 0.749 [4 per cell]
Lu 0.250 0.083 0.500 [4 per cell]

=====

No. 10
The following is a DFT calculation (PBE-GGA) of a relaxed structure of TmFe6Ge6.

Values from the calculation:
As for the raw total energy: -0.4850 Ry per atom.

Cell: 5.097 8.132 26.454 Å, 90.00 90.00 90.00°
Space group Immm (No. 71)
Symmetry-distinct sites (fractional):
Tm 0.000 0.000 0.000 [2 per cell]
Tm 0.000 0.500 0.332 [4 per cell]
Fe 0.000 0.250 0.500 [4 per cell]
Fe 0.000 0.251 0.167 [8 per cell]
Fe 0.250 0.249 0.083 [16 per cell]
Fe 0.250 0.250 0.250 [8 per cell]
Ge 0.000 0.000 0.112 [4 per cell]
Ge 0.000 0.000 0.223 [4 per cell]
Ge 0.000 0.000 0.444 [4 per cell]
Ge 0.000 0.154 0.334 [8 per cell]
Ge 0.000 0.345 0.000 [4 per cell]
Ge 0.000 0.500 0.110 [4 per cell]
Ge 0.000 0.500 0.221 [4 per cell]
Ge 0.000 0.500 0.444 [4 per cell]

=====

No. 11
The following is a DFT calculation (PBE-GGA) of a relaxed structure of CdIrWAu.

Values from the calculation:
Its formation energy is 1.6 eV/f.u. The energy above the most stable polymorph in this dataset is 0 meV per atom.

Cell: 6.484 6.484 6.484 Å, 90.00 90.00 90.00°
Space group F-43m (No. 216)
Symmetry-distinct sites (fractional):
Cd 0.000 0.000 0.000 [4 per cell]
Ir 0.250 0.250 0.750 [4 per cell]
W 0.000 0.000 0.500 [4 per cell]
Au 0.250 0.250 0.250 [4 per cell]

=====

No. 12
The following is a DFT calculation (PBE-GGA) of a relaxed structure of YFeTcPb.

Values from the calculation:
The energy above the most stable polymorph in this dataset is 0 meV per atom.

Cell: 6.650 6.650 6.650 Å, 90.00 90.00 90.00°
Space group F-43m (No. 216)
Symmetry-distinct sites (fractional):
Y 0.000 0.000 0.000 [4 per cell]
Fe 0.250 0.250 0.750 [4 per cell]
Tc 0.250 0.250 0.250 [4 per cell]
Pb 0.000 0.000 0.500 [4 per cell]

=====

No. 13
The following is a DFT calculation (PBE-GGA) of a relaxed structure of YZnFeTc.

Values from the calculation:
Its formation energy is 1.1 eV/f.u. The energy above the most stable polymorph in this dataset is 0 meV per atom.

Cell: 6.491 6.491 6.491 Å, 90.00 90.00 90.00°
Space group F-43m (No. 216)
Symmetry-distinct sites (fractional):
Y 0.000 0.000 0.000 [4 per cell]
Zn 0.250 0.250 0.250 [4 per cell]
Fe 0.000 0.000 0.500 [4 per cell]
Tc 0.250 0.250 0.750 [4 per cell]

=====

No. 14
The following is a DFT calculation (PBE-GGA) of a relaxed structure of InMoPd.

Values from the calculation:
As for the raw total energy: -0.4106 Ry per atom.

Cell: 6.280 6.280 6.280 Å, 90.00 90.00 90.00°
Space group F-43m (No. 216)
Symmetry-distinct sites (fractional):
In 0.000 0.000 0.000 [4 per cell]
Mo 0.250 0.250 0.250 [4 per cell]
Pd 0.000 0.000 0.500 [4 per cell]

=====

No. 15
The following is a DFT calculation (PBE-GGA) of a relaxed structure of TaIrOs.

Values from the calculation:
Its formation energy is 1.0 eV/f.u. The energy above the most stable polymorph in this dataset is 136 meV per atom.

Cell: 6.058 6.058 6.058 Å, 90.00 90.00 90.00°
Space group F-43m (No. 216)
Symmetry-distinct sites (fractional):
Ta 0.000 0.000 0.000 [4 per cell]
Ir 0.000 0.000 0.500 [4 per cell]
Os 0.250 0.250 0.750 [4 per cell]

=====

No. 16
The following is a DFT calculation (PBE-GGA) of a relaxed structure of TmSc3Te2C2.

Values from the calculation:
As for the raw total energy: -0.5057 Ry per atom.

Cell: 3.6212 3.6212 13.3906 Å, 90.00 90.00 120.00°
Space group P3m1 (No. 156)
Symmetry-distinct sites (fractional):
Tm 0.0000 0.0000 0.0000 [1 per cell]
Sc 0.0000 0.0000 0.6743 [1 per cell]
Sc 0.6667 0.3333 0.1847 [1 per cell]
Sc 0.6667 0.3333 0.4990 [1 per cell]
Te 0.0000 0.0000 0.3420 [1 per cell]
Te 0.6667 0.3333 0.8305 [1 per cell]
C 0.3333 0.6667 0.0959 [1 per cell]
C 0.3333 0.6667 0.5867 [1 per cell]

=====

No. 17
The following is a DFT calculation (PBE-GGA) of a relaxed structure of NdDy3Y2CoSe2.

Values from the calculation:
As for the raw total energy: -0.4292 Ry per atom.

Cell: 3.847 14.100 8.157 Å, 90.00 90.00 90.00°
Space group Amm2 (No. 38)
Symmetry-distinct sites (fractional):
Nd 0.000 0.000 0.000 [2 per cell]
Dy 0.500 0.000 0.658 [2 per cell]
Dy 0.500 0.119 0.296 [4 per cell]
Y 0.000 0.204 0.621 [4 per cell]
Co 0.000 0.000 0.428 [2 per cell]
Se 0.500 0.171 0.916 [4 per cell]

=====

No. 18
The following is a DFT calculation (PBE-GGA) of a relaxed structure of Y5In4Pd2.

Values from the calculation:
As for the raw total energy: -0.4103 Ry per atom.

Cell: 8.093 18.264 3.661 Å, 90.00 90.00 90.00°
Space group Pbam (No. 55)
Symmetry-distinct sites (fractional):
Y 0.000 0.000 0.000 [2 per cell]
Y 0.115 0.418 0.000 [4 per cell]
Y 0.236 0.219 0.000 [4 per cell]
In 0.083 0.850 0.500 [4 per cell]
In 0.212 0.569 0.500 [4 per cell]
Pd 0.021 0.304 0.500 [4 per cell]

=====

No. 19
The following is a DFT calculation (PBE-GGA) of a relaxed structure of YTmCuTe3.

Values from the calculation:
As for the raw total energy: -0.3675 Ry per atom.

Cell: 4.120 14.182 10.989 Å, 90.00 90.00 90.00°
Space group Cmcm (No. 63)
Symmetry-distinct sites (fractional):
Y 0.000 0.227 0.250 [4 per cell]
Tm 0.000 0.000 0.000 [4 per cell]
Cu 0.000 0.471 0.750 [4 per cell]
Te 0.000 0.096 0.750 [4 per cell]
Te 0.000 0.352 0.566 [8 per cell]

=====

No. 20
The following is a DFT calculation (PBE-GGA) of a relaxed structure of LiTbSO.

Values from the calculation:
The energy above the most stable polymorph in this dataset is 290 meV per atom.

Cell: 3.992 6.313 6.194 Å, 90.00 90.00 90.00°
Space group Pmc2_1 (No. 26)
Symmetry-distinct sites (fractional):
Li 0.000 0.216 0.000 [2 per cell]
Tb 0.500 0.337 0.429 [2 per cell]
S 0.000 0.151 0.621 [2 per cell]
O 0.500 0.361 0.082 [2 per cell]